# 1
Compound: V2Ni2Au
Source: Alexandria
Functional: GGA-PBE
Structure: optimized geometry

Its energy above the most stable polymorph in this dataset is 14.6 kJ per mole of atoms. Its space-group type is No. 127. The total magnetization comes out at 0.0 Bohr magnetons per cell. As for the formation energy from the elements: 0.060 eV/atom. Its crystal system is tetragonal. The total energy is -6.56 eV per atom.

Lattice parameters (Å, degrees): 7.207 7.207 2.616 90.00 90.00 90.00
Sites, in units of the cell vectors:
Au: 0.000 0.000 0.000
Au: 0.500 0.500 0.000
Ni: 0.325 0.175 0.500
Ni: 0.175 0.675 0.500
Ni: 0.675 0.825 0.500
Ni: 0.825 0.325 0.500
V: 0.616 0.116 0.000
V: 0.116 0.384 0.000
V: 0.884 0.616 0.000
V: 0.384 0.884 0.000

# 2
Compound: VNi4Au
Source: Alexandria
Functional: GGA-PBE
Structure: optimized geometry

Its space-group type is No. 216. The total magnetization comes out at 0.0 Bohr magnetons per cell. As for the formation energy from the elements: -0.058 eV/atom. Its crystal system is cubic. The total energy is -5.98 eV per atom.

Lattice parameters (Å, degrees): 4.714 4.714 4.714 60.00 60.00 60.00
Sites, in units of the cell vectors:
Ni: 0.625 0.625 0.625
Ni: 0.625 0.625 0.126
Ni: 0.625 0.126 0.625
Ni: 0.126 0.625 0.625
Au: 0.000 0.000 0.000
V: 0.250 0.250 0.250

# 3
Compound: V2Ni2Au
Source: Alexandria
Functional: GGA-PBE
Structure: optimized geometry

Its energy above the most stable polymorph in this dataset is 23.4 kJ per mole of atoms. Its space-group type is No. 139. The total magnetization comes out at 0.0 Bohr magnetons per cell. As for the formation energy from the elements: 0.151 eV/atom. Its crystal system is tetragonal. The total energy is -6.46 eV per atom.

Lattice parameters (Å, degrees): 3.714 3.714 5.760 71.19 71.19 90.00
Sites, in units of the cell vectors:
V: 0.750 0.250 0.500
V: 0.250 0.750 0.500
Ni: 0.393 0.393 0.214
Ni: 0.607 0.607 0.786
Au: 0.000 0.000 0.000

# 4
Compound: VZnNiAu
Source: Alexandria
Functional: GGA-PBE
Structure: optimized geometry

Its space-group type is No. 216. The total magnetization comes out at 0.0 Bohr magnetons per cell. As for the formation energy from the elements: 0.000 eV/atom. Its crystal system is cubic. The total energy is -4.86 eV per atom.

Lattice parameters (Å, degrees): 4.316 4.316 4.316 60.00 60.00 60.00
Sites, in units of the cell vectors:
Ni: 0.750 0.750 0.750
Zn: 0.500 0.500 0.500
V: 0.000 0.000 0.000
Au: 0.250 0.250 0.250

# 5
Compound: NiWAu2
Source: Alexandria
Functional: GGA-PBE
Structure: optimized geometry

Its energy above the most stable polymorph in this dataset is 69.8 kJ per mole of atoms. Its space-group type is No. 122. The total magnetization comes out at 0.0 Bohr magnetons per cell. As for the formation energy from the elements: 0.847 eV/atom. Its crystal system is tetragonal. The total energy is -5.47 eV per atom.

Lattice parameters (Å, degrees): 7.194 7.194 5.728 51.10 51.10 90.00
Sites, in units of the cell vectors:
Au: 0.875 0.860 0.750
Au: 0.610 0.125 0.250
Au: 0.375 0.390 0.750
Au: 0.140 0.625 0.250
W: 0.000 0.000 0.000
W: 0.750 0.250 0.500
Ni: 0.250 0.750 0.500
Ni: 0.500 0.500 0.000

# 6
Compound: NiWAu2
Source: Alexandria
Functional: GGA-PBE
Structure: optimized geometry

Its energy above the most stable polymorph in this dataset is 35.2 kJ per mole of atoms. Its space-group type is No. 47. The total magnetization comes out at 0.0 Bohr magnetons per cell. As for the formation energy from the elements: 0.490 eV/atom. Its crystal system is orthorhombic. The total energy is -5.83 eV per atom.

Lattice parameters (Å, degrees): 2.781 4.757 4.868 90.00 90.00 90.00
Sites, in units of the cell vectors:
Au: 0.000 0.000 0.000
Au: 0.500 0.500 0.000
W: 0.000 0.500 0.500
Ni: 0.500 0.000 0.500